Entry 1:
Below is a geometry-optimized Ca3SnPd3 structure, with properties calculated at the PBE level.

a b c (Å): 5.800 5.800 13.865
angles (deg): 90.00 90.00 134.70
Atoms (fractional coordinates):
Ca  0.013  0.987  0.750
Ca  0.292  0.708  0.604
Ca  0.292  0.708  0.896
Ca  0.708  0.292  0.104
Ca  0.708  0.292  0.396
Ca  0.987  0.013  0.250
Sn  0.000  0.000  0.000
Sn  0.000  0.000  0.500
Pd  0.271  0.729  0.250
Pd  0.419  0.581  0.093
Pd  0.419  0.581  0.407
Pd  0.581  0.419  0.593
Pd  0.581  0.419  0.907
Pd  0.729  0.271  0.750

- E_form: -722.0 meV/atom
- Uncorrected energy: -61.28 eV/cell
- D(E_F): 7.5 states/eV/cell
- Symmetry: Cmcm, No. 63
- E above lowest polymorph: 0.000 eV per atom


Entry 2:
Below is a geometry-optimized FeCuN2 structure, with properties calculated at the PBE level.

a b c (Å): 3.595 3.595 3.595
angles (deg): 60.00 60.00 60.00
Atoms (fractional coordinates):
Fe  0.000  0.000  0.000
Cu  0.500  0.500  0.500
N  0.250  0.250  0.250
N  0.750  0.750  0.750

- Uncorrected energy: -24.43 eV/cell
- D(E_F): 8.3 states/eV/cell
- Symmetry: Fm-3m, No. 225
- E above lowest polymorph: 0.274 eV per atom
- E_form (uncorrected): 1195 meV/atom


Entry 3:
Below is a geometry-optimized EuTlGa structure, with properties calculated at the PBE level.

a b c (Å): 6.593 6.593 6.593
angles (deg): 147.88 147.88 46.06
Atoms (fractional coordinates):
Eu  0.000  0.000  0.000
Tl  0.307  0.307  0.000
Ga  0.666  0.666  0.000

- E_form: -265.9 meV/atom
- Uncorrected energy: -16.47 eV/cell
- D(E_F): 1.6 states/eV/cell
- Symmetry: I4mm, No. 107
- E above lowest polymorph: 0.088 eV per atom


Which of these has the highest uncorrected energy? EuTlGa